Material: Cd2WBr
Method: DFT, PBE
State: relaxed

Calculated values
Calculated total energy, eV per cell: -25.24
Crystal system: tetragonal
E above lowest polymorph, eV per atom: 0.5021
Energy relative to the elements, uncorrected, eV/f.u.: 3.84

Cell: 7.148 7.148 7.148 Å, 96.59 96.59 140.40°
Fractional coordinates of all 8 atoms:
Cd 0.023 0.125 0.398
Cd 0.375 0.977 0.102
Cd 0.727 0.625 0.602
Cd 0.875 0.273 0.898
W 0.000 0.000 0.000
W 0.750 0.250 0.500
Br 0.250 0.750 0.500
Br 0.500 0.500 0.000

=====

Material: TaSiPCl2
Method: DFT, PBE
State: relaxed

Calculated values
Calculated total energy, eV per cell: -22.43
Crystal system: tetragonal
E above lowest polymorph, eV per atom: 0.5202
Energy relative to the elements, uncorrected, eV/f.u.: 3.95

Cell: 4.509 4.509 4.877 Å, 90.00 90.00 90.00°
Fractional coordinates of all 5 atoms:
Ta 0.000 0.000 0.000
Si 0.500 0.500 0.500
P 0.500 0.500 0.000
Cl 0.000 0.500 0.500
Cl 0.500 0.000 0.500

=====

Material: Ba4Br6O
Method: DFT, PBE
State: relaxed

Calculated values
Calculated total energy, eV per cell: -188.93
Crystal system: orthorhombic
E above lowest polymorph, eV per atom: 0.0962
Energy relative to the elements, uncorrected, eV/f.u.: -24.55

Cell: 6.364 12.187 23.076 Å, 90.00 90.00 90.00°
Fractional coordinates of all 44 atoms:
Ba 0.014 0.220 0.206
Ba 0.020 0.363 0.430
Ba 0.031 0.409 0.050
Ba 0.099 0.516 0.690
Ba 0.401 0.484 0.190
Ba 0.469 0.591 0.550
Ba 0.480 0.637 0.930
Ba 0.486 0.780 0.706
Ba 0.514 0.280 0.794
Ba 0.520 0.137 0.570
Ba 0.531 0.091 0.950
Ba 0.599 0.984 0.310
Ba 0.901 0.016 0.810
Ba 0.969 0.909 0.450
Ba 0.980 0.863 0.070
Ba 0.986 0.720 0.294
Br 0.004 0.448 0.295
Br 0.007 0.141 0.353
Br 0.014 0.153 0.533
Br 0.017 0.266 0.756
Br 0.033 0.994 0.946
Br 0.180 0.654 0.428
Br 0.320 0.346 0.928
Br 0.467 0.006 0.446
Br 0.483 0.734 0.256
Br 0.486 0.847 0.033
Br 0.493 0.859 0.853
Br 0.496 0.552 0.795
Br 0.504 0.052 0.705
Br 0.507 0.359 0.647
Br 0.514 0.347 0.467
Br 0.517 0.234 0.244
Br 0.533 0.506 0.054
Br 0.680 0.846 0.572
Br 0.820 0.154 0.072
Br 0.967 0.494 0.554
Br 0.983 0.766 0.744
Br 0.986 0.653 0.967
Br 0.993 0.641 0.147
Br 0.996 0.948 0.205
O 0.145 0.367 0.146
O 0.355 0.633 0.646
O 0.645 0.133 0.854
O 0.855 0.867 0.354

=====

Material: InAgPd3
Method: DFT, PBE
State: relaxed

Calculated values
Calculated total energy, eV per cell: -45.50
Crystal system: orthorhombic
E above lowest polymorph, eV per atom: 0.0000
Energy of formation, eV/atom: -0.317

Cell: 9.472 9.472 4.265 Å, 90.00 90.00 154.06°
Fractional coordinates of all 10 atoms:
In 0.148 0.852 0.750
In 0.852 0.148 0.250
Ag 0.351 0.649 0.750
Ag 0.649 0.351 0.250
Pd 0.050 0.950 0.250
Pd 0.250 0.750 0.250
Pd 0.451 0.549 0.250
Pd 0.549 0.451 0.750
Pd 0.750 0.250 0.750
Pd 0.950 0.050 0.750

=====

Material: YGeSe
Method: DFT, PBE
State: relaxed

Calculated values
Calculated total energy, eV per cell: -36.32
Crystal system: tetragonal
Energy relative to the elements, uncorrected, eV/f.u.: -3.59

Cell: 9.532 9.532 9.532 Å, 156.52 156.52 33.44°
Fractional coordinates of all 6 atoms:
Y 0.142 0.142 0.000
Y 0.858 0.858 0.000
Ge 0.000 0.500 0.500
Ge 0.500 0.000 0.500
Se 0.311 0.311 0.000
Se 0.689 0.689 0.000

=====

Material: Pm2Mg15In2
Method: DFT, PBE
State: relaxed

Calculated values
Calculated total energy, eV per cell: -40.51
Crystal system: trigonal
Energy of formation, eV/atom: -0.085

Cell: 7.785 7.785 7.785 Å, 82.45 82.45 82.45°
Fractional coordinates of all 19 atoms:
Pm 0.176 0.176 0.176
Pm 0.824 0.824 0.824
Mg 0.000 0.500 0.500
Mg 0.150 0.150 0.664
Mg 0.150 0.664 0.150
Mg 0.190 0.500 0.810
Mg 0.190 0.810 0.500
Mg 0.336 0.850 0.850
Mg 0.500 0.000 0.500
Mg 0.500 0.190 0.810
Mg 0.500 0.500 0.000
Mg 0.500 0.810 0.190
Mg 0.664 0.150 0.150
Mg 0.810 0.190 0.500
Mg 0.810 0.500 0.190
Mg 0.850 0.336 0.850
Mg 0.850 0.850 0.336
In 0.401 0.401 0.401
In 0.599 0.599 0.599